[1]
{
  "formula": "Al8Si",
  "functional": "PBEsol",
  "state": "optimized geometry",
  "e_form_raw_ev_per_atom": 0.0342,
  "spacegroup": "I4/mmm (139)",
  "volume_a3_per_atom": 15.90,
  "total_magnetization_mub_per_cell": 0.00,
  "lattice_angstrom": [[4.025, 0.000, 0.000], [2.012, 5.962, 0.000], [2.012, 0.000, 5.962]],
  "species": ["Si", "Al", "Al", "Al", "Al", "Al", "Al", "Al", "Al"],
  "fractional_positions": [[0.000, 0.000, 0.000], [0.335, 0.000, 0.330], [0.665, 0.000, 0.670], [0.668, 0.332, 0.332], [0.335, 0.330, 0.000], [0.000, 0.332, 0.668], [0.665, 0.670, 0.000], [0.332, 0.668, 0.668], [0.000, 0.668, 0.332]]
}


[2]
{
  "formula": "TiPRu3",
  "functional": "PBEsol",
  "state": "optimized geometry",
  "final_energy_ev_per_atom": -8.827,
  "spacegroup": "Pm-3m (221)",
  "volume_a3_per_atom": 15.39,
  "total_magnetization_mub_per_cell": 0.00,
  "lattice_angstrom": [[-2.995, 2.614, -1.513], [0.902, -1.260, -3.961], [-2.883, -3.110, 0.333]],
  "species": ["Ru", "Ru", "Ru", "P", "Ti"],
  "fractional_positions": [[0.000, 0.500, 0.000], [0.000, 0.000, 0.500], [0.500, 0.000, 0.000], [0.000, 0.000, 0.000], [0.500, 0.500, 0.500]]
}


[3]
{
  "formula": "AlFeW2",
  "functional": "PBEsol",
  "state": "optimized geometry",
  "final_energy_ev_per_atom": -10.049,
  "spacegroup": "P4/mmm (123)",
  "volume_a3_per_atom": 14.19,
  "total_magnetization_mub_per_cell": 2.08,
  "lattice_angstrom": [[-2.784, -1.543, 1.930], [-1.178, -1.728, -3.080], [2.391, -3.207, 0.886]],
  "species": ["Fe", "W", "W", "Al"],
  "fractional_positions": [[0.000, 0.000, 0.500], [0.000, 0.500, 0.000], [0.500, 0.000, 0.000], [0.500, 0.500, 0.500]]
}


[4]
{
  "formula": "ErAlNi4",
  "functional": "PBEsol",
  "state": "optimized geometry",
  "final_energy_ev_per_atom": -6.080,
  "spacegroup": "P-6m2 (187)",
  "volume_a3_per_atom": 13.50,
  "total_magnetization_mub_per_cell": 0.00,
  "lattice_angstrom": [[3.814, 0.000, 0.000], [0.000, 4.952, 0.000], [0.000, -2.476, 4.289]],
  "species": ["Ni", "Ni", "Ni", "Ni", "Al", "Er"],
  "fractional_positions": [[0.000, 0.667, 0.333], [0.500, 0.338, 0.169], [0.500, 0.831, 0.662], [0.500, 0.831, 0.169], [0.000, 0.000, 0.000], [0.000, 0.333, 0.667]]
}


[5]
{
  "formula": "BiPtN2F",
  "functional": "PBEsol",
  "state": "optimized geometry",
  "e_form_raw_ev_per_atom": 0.5340,
  "spacegroup": "P4/mmm (123)",
  "volume_a3_per_atom": 13.24,
  "total_magnetization_mub_per_cell": 0.00,
  "lattice_angstrom": [[-2.140, 3.054, 1.410], [-2.307, -0.117, -3.249], [-2.558, -2.676, 1.913]],
  "species": ["N", "N", "Bi", "Pt", "F"],
  "fractional_positions": [[0.000, 0.500, 0.000], [0.500, 0.000, 0.000], [0.500, 0.500, 0.500], [0.000, 0.000, 0.000], [0.000, 0.000, 0.500]]
}


[6]
{
  "formula": "BaCrCu",
  "functional": "PBEsol",
  "state": "optimized geometry",
  "final_energy_ev_per_atom": -4.888,
  "spacegroup": "I4mm (107)",
  "volume_a3_per_atom": 22.84,
  "total_magnetization_mub_per_cell": 3.75,
  "lattice_angstrom": [[-1.076, 2.702, -1.900], [-2.619, 0.520, 2.222], [5.138, 1.854, 2.905]],
  "species": ["Ba", "Cr", "Cu"],
  "fractional_positions": [[0.994, 0.994, 0.988], [0.721, 0.721, 0.441], [0.285, 0.285, 0.571]]
}


[7]
{
  "formula": "CdPtSe2",
  "functional": "PBEsol",
  "state": "optimized geometry",
  "e_form_raw_ev_per_atom": -0.0518,
  "spacegroup": "I4/mmm (139)",
  "volume_a3_per_atom": 19.90,
  "total_magnetization_mub_per_cell": 0.00,
  "lattice_angstrom": [[-0.428, -2.537, -3.927], [1.208, -2.996, 3.411], [-4.029, 2.182, 1.033]],
  "species": ["Cd", "Pt", "Se", "Se"],
  "fractional_positions": [[0.000, 0.500, 0.000], [0.500, 0.000, 0.000], [0.000, 0.000, 0.500], [0.500, 0.500, 0.500]]
}


[8]
{
  "formula": "P2IrCS",
  "functional": "PBEsol",
  "state": "optimized geometry",
  "e_form_raw_ev_per_atom": 1.9561,
  "spacegroup": "P4/mmm (123)",
  "volume_a3_per_atom": 19.46,
  "total_magnetization_mub_per_cell": 0.68,
  "lattice_angstrom": [[4.412, 0.000, 0.000], [0.000, 4.412, 0.000], [0.000, 0.000, 4.999]],
  "species": ["P", "P", "S", "Ir", "C"],
  "fractional_positions": [[0.000, 0.500, 0.000], [0.500, 0.000, 0.000], [0.000, 0.000, 0.500], [0.000, 0.000, 0.000], [0.500, 0.500, 0.500]]
}